A relaxed structure of Li4VNi3O8. Source: the Alexandria database, functional GGA+U.

- crystal system = trigonal
- energy above the most stable polymorph in this dataset (kJ per mole of atoms) = 0.0
- DOS at the Fermi energy (states/eV per cell) = 4.5

abc: 5.8757 5.8757 5.8757
angles: 60.04 60.04 60.04
Site moments in Bohr magnetons follow the coordinates.
Fractional positions:
O: 0.7380 0.7380 0.7380  -0.12
O: 0.7666 0.2308 0.2308  0.02
O: 0.2600 0.2600 0.2600  -0.12
O: 0.2308 0.7666 0.2308  0.02
O: 0.2308 0.2308 0.7666  0.02
O: 0.2314 0.7673 0.7673  0.02
O: 0.7673 0.2314 0.7673  0.02
O: 0.7673 0.7673 0.2314  0.02
Li: 0.9989 0.9989 0.4992  0.01
Li: 0.4992 0.9989 0.9989  0.01
Li: 0.4989 0.4989 0.4989  0.00
Li: 0.9989 0.4992 0.9989  0.01
Ni: 0.4990 0.9990 0.4990  1.62
Ni: 0.4990 0.4990 0.9990  1.62
Ni: 0.9990 0.4990 0.4990  1.62
V: 0.9991 0.9991 0.9991  0.25